A relaxed K2PmCo2O6 crystal, computed with PBE with a Hubbard U. Values from VASP.

Symmetry: No. 166
Total energy: -64.29 eV per cell
V: 17.69 A^3/atom

```
&SYSTEM
  ibrav = 0, nat = 11, ntyp = 4
/
ATOMIC_SPECIES
K 39.10 K.upf
Pm 145.00 Pm.upf
Co 58.93 Co.upf
O 16.00 O.upf
CELL_PARAMETERS angstrom
3.0725 1.7739 5.9500
-3.0725 1.7739 5.9500
0.0000 -3.5478 5.9500
ATOMIC_POSITIONS angstrom
K 0.0000 0.0000 3.7959
K 0.0000 0.0000 14.0543
Pm 0.0000 0.0000 0.0000
Co 0.0000 0.0000 7.6592
Co 0.0000 0.0000 10.1910
O 0.0000 -1.7281 7.4187
O -1.4966 0.8640 7.4187
O -1.4966 -0.8640 10.4315
O 1.4966 0.8640 7.4187
O 1.4966 -0.8640 10.4315
O 0.0000 1.7281 10.4315
```